Entry 1:
Computed, not measured: an optimized crystal structure of Ba2Tl4Bi2Pb at the GGA-PBE level of DFT.

Geometry as extended XYZ:
```
9
Lattice="-3.7870 3.7870 5.8419 3.7870 -3.7870 5.8419 3.7870 3.7870 -5.8419" Properties=species:S:1:pos:R:3 pbc="T T T"
Ba 3.7870 0.0000 2.9210
Ba 0.0000 3.7870 2.9210
Tl 1.5591 1.5591 0.0000
Tl 2.2279 -2.2279 5.8419
Tl -2.2279 2.2279 5.8419
Tl 2.2279 2.2279 5.8419
Bi 0.0000 0.0000 2.6196
Bi 0.0000 0.0000 9.0643
Pb 0.0000 0.0000 5.8419
```

Properties
ΔE_f: -296 kJ/mol of formula units


Entry 2:
Computed, not measured: an optimized crystal structure of Nd3RhC2N6 at the GGA-PBE level of DFT.

Geometry as extended XYZ:
```
12
Lattice="5.3026 0.0000 0.0000 -2.6513 4.5922 0.0000 0.0000 0.0000 6.5541" Properties=species:S:1:pos:R:3 pbc="T T T"
Nd 0.0000 0.0000 0.0000
Nd 0.0000 3.0615 4.3851
Nd 2.6513 1.5307 2.1690
Rh 0.0000 0.0000 3.2770
C 0.0000 3.0615 1.7700
C 2.6513 1.5307 4.7841
N 0.0000 1.6866 1.7567
N -1.1906 3.7489 1.7567
N 1.4607 0.8433 4.7973
N 1.1906 3.7489 1.7567
N 3.8419 0.8433 4.7973
N 2.6513 2.9055 4.7973
```

Properties
raw formation energy: -0.49 eV per atom


Entry 3:
Computed, not measured: an optimized crystal structure of CeCo4Ag at the GGA-PBE level of DFT.

Geometry as extended XYZ:
```
6
Lattice="0.0000 3.5299 3.5299 3.5299 0.0000 3.5299 3.5299 3.5299 0.0000" Properties=species:S:1:pos:R:3 pbc="T T T"
Ce 0.0000 0.0000 0.0000
Co 4.4109 2.6489 2.6489
Co 2.6489 4.4109 2.6489
Co 2.6489 2.6489 4.4109
Co 4.4109 4.4109 4.4109
Ag 1.7649 1.7649 1.7649
```

Properties
ΔE_f: -8 kJ/mol of formula units


Entry 4:
Computed, not measured: an optimized crystal structure of SrSc2Sb2 at the GGA-PBE level of DFT.

Geometry as extended XYZ:
```
10
Lattice="8.4083 0.0000 0.0000 0.0000 8.4083 0.0000 0.0000 0.0000 3.8913" Properties=species:S:1:pos:R:3 pbc="T T T"
Sr 0.0000 0.0000 0.0000
Sr 4.2041 4.2041 0.0000
Sc 1.1626 3.0416 1.9457
Sc 3.0416 7.2457 1.9457
Sc 5.3667 1.1626 1.9457
Sc 7.2457 5.3667 1.9457
Sb 1.2647 5.4688 0.0000
Sb 2.9394 1.2647 0.0000
Sb 5.4688 7.1436 0.0000
Sb 7.1436 2.9394 0.0000
```

Properties
relative energy among the computed polymorphs: 109 meV/atom
raw formation energy: -0.69 eV per atom